No. 1
The following is a PBEsol calculation of a relaxed Ba2LiCl crystal, from Alexandria.

Values from the calculation:
Excess energy over the best structure of this formula in the dataset: 76 meV/atom
Raw formation energy: -0.703 eV per atom

a b c (Å): 8.798 8.798 9.236
angles (deg): 90.00 90.00 90.00
Space group I-42d (No. 122)
Inequivalent atoms, fractional coordinates:
Ba1 0.204 0.250 0.125 x8
Li1 0.000 0.000 0.500 x4
Cl1 0.000 0.000 0.000 x4

No. 2
The following is a PBEsol calculation of a relaxed CrTc2Pb crystal, from Alexandria.

Values from the calculation:
Excess energy over the best structure of this formula in the dataset: 0 meV/atom
Energy relative to the elements: 0.506 eV per atom

a b c (Å): 2.949 2.949 7.600
angles (deg): 90.00 90.00 90.00
Space group P4mm (No. 99)
Inequivalent atoms, fractional coordinates:
Cr1 0.000 0.000 0.000 x1
Tc1 0.000 0.000 0.582 x1
Tc2 0.500 0.500 0.782 x1
Pb1 0.500 0.500 0.295 x1

No. 3
The following is a PBEsol calculation of a relaxed Te2PtN crystal, from Alexandria.

Values from the calculation:
Raw formation energy: 0.524 eV per atom

a b c (Å): 5.457 5.457 11.756
angles (deg): 90.00 90.00 90.00
Space group I-42d (No. 122)
Inequivalent atoms, fractional coordinates:
Te1 0.209 0.250 0.125 x8
Pt1 0.000 0.000 0.500 x4
N1 0.000 0.000 0.000 x4

No. 4
The following is a PBEsol calculation of a relaxed Sc2Hg crystal, from Alexandria.

Values from the calculation:
Energy relative to the elements: -0.108 eV per atom

a b c (Å): 4.8666 4.8666 2.9616
angles (deg): 90.00 90.00 120.00
Space group P6/mmm (No. 191)
Inequivalent atoms, fractional coordinates:
Sc1 0.3333 0.6667 0.0000 x2
Hg1 0.0000 0.0000 0.5000 x1

No. 5
The following is a PBEsol calculation of a relaxed ZnCu crystal, from Alexandria.

Values from the calculation:
Energy relative to the elements: -0.100 eV per atom

a b c (Å): 2.680 2.680 3.422
angles (deg): 90.00 90.00 90.00
Space group P4/mmm (No. 123)
Inequivalent atoms, fractional coordinates:
Zn1 0.000 0.000 0.000 x1
Cu1 0.500 0.500 0.500 x1

No. 6
The following is a PBEsol calculation of a relaxed YHo3 crystal, from Alexandria.

Values from the calculation:
Excess energy over the best structure of this formula in the dataset: 9 meV/atom
Energy relative to the elements: 0.020 eV per atom

a b c (Å): 4.897 4.897 9.808
angles (deg): 90.00 90.00 90.00
Space group I4/mmm (No. 139)
Inequivalent atoms, fractional coordinates:
Y1 0.000 0.000 0.000 x2
Ho1 0.000 0.000 0.500 x2
Ho2 0.000 0.500 0.250 x4

No. 7
The following is a PBEsol calculation of a relaxed NiP8W crystal, from Alexandria.

Values from the calculation:
Energy relative to the elements: -0.317 eV per atom

a b c (Å): 6.1822 6.1822 8.6981
angles (deg): 90.00 90.00 120.00
Space group P-31c (No. 163)
Inequivalent atoms, fractional coordinates:
Ni1 0.0000 0.0000 0.0000 x2
P1 0.0427 0.3188 0.1527 x12
P2 0.3333 0.6667 0.0358 x4
W1 0.3333 0.6667 0.7500 x2

No. 8
The following is a PBEsol calculation of a relaxed WSeO3 crystal, from Alexandria.

Values from the calculation:
Raw formation energy: -0.943 eV per atom

a b c (Å): 3.934 3.934 3.934
angles (deg): 90.00 90.00 90.00
Space group Pm-3m (No. 221)
Inequivalent atoms, fractional coordinates:
W1 0.000 0.000 0.000 x1
Se1 0.500 0.500 0.500 x1
O1 0.000 0.000 0.500 x3

No. 9
The following is a PBEsol calculation of a relaxed Re2GeHI crystal, from Alexandria.

a b c (Å): 4.743 4.743 5.922
angles (deg): 90.00 90.00 90.00
Space group P4/mmm (No. 123)
Inequivalent atoms, fractional coordinates:
Re1 0.000 0.500 0.000 x2
Ge1 0.000 0.000 0.000 x1
H1 0.500 0.500 0.500 x1
I1 0.000 0.000 0.500 x1

No. 10
The following is a PBEsol calculation of a relaxed Ca2ZnN crystal, from Alexandria.

Values from the calculation:
Raw formation energy: 0.108 eV per atom

a b c (Å): 6.661 6.661 6.661
angles (deg): 90.00 90.00 90.00
Space group Fm-3m (No. 225)
Inequivalent atoms, fractional coordinates:
Ca1 0.250 0.250 0.250 x8
Zn1 0.000 0.000 0.000 x4
N1 0.000 0.000 0.500 x4

No. 11
The following is a PBEsol calculation of a relaxed GeSe2IBr crystal, from Alexandria.

Values from the calculation:
Raw formation energy: 0.272 eV per atom

a b c (Å): 5.078 5.078 5.004
angles (deg): 90.00 90.00 90.00
Space group P4/mmm (No. 123)
Inequivalent atoms, fractional coordinates:
Ge1 0.000 0.000 0.000 x1
Se1 0.000 0.500 0.000 x2
I1 0.500 0.500 0.500 x1
Br1 0.000 0.000 0.500 x1

No. 12
The following is a PBEsol calculation of a relaxed CdTeWI2 crystal, from Alexandria.

Values from the calculation:
Raw formation energy: 0.552 eV per atom

a b c (Å): 5.516 5.516 5.194
angles (deg): 90.00 90.00 90.00
Space group P4/mmm (No. 123)
Inequivalent atoms, fractional coordinates:
Cd1 0.000 0.000 0.000 x1
Te1 0.500 0.500 0.000 x1
W1 0.500 0.500 0.500 x1
I1 0.000 0.500 0.500 x2

Ordered E_tot results: -2.77 -8.69 -5.11 -4.70 -3.06 -5.40 -6.95 -7.62 -4.80 -3.49 -2.98 -3.86; unit eV/atom.